The following is a GGA+U calculation of a relaxed structure of K2BeNiF6, from Alexandria.

Cell: 7.746 7.754 7.809 Å, 90.00 90.00 90.00°
Space group Fmmm (No. 69)
Inequivalent atoms, fractional coordinates:
K  0.250  0.250  0.250 x8
Be  0.000  0.000  0.000 x4
Ni  0.000  0.000  0.500 x4
F  0.000  0.000  0.237 x8
F  0.000  0.234  0.000 x8
F  0.234  0.000  0.000 x8

Computed properties:
VASP energy, eV/atom: -4.643